A relaxed CeZn2Ni3 crystal, computed with GGA-PBE.

* E above lowest polymorph: 0.000 eV/atom

Cell lengths 5.1824, 5.1824, 3.9101 Å; angles 90.00, 90.00, 120.00 degrees
Fractional positions:
Ce 0.0000 0.0000 0.0000
Zn 0.3333 0.6667 0.0000
Zn 0.6667 0.3333 0.0000
Ni 0.0000 0.5000 0.5000
Ni 0.5000 0.0000 0.5000
Ni 0.5000 0.5000 0.5000

***

A relaxed CeZnNi4 crystal, computed with GGA-PBE.

* E above lowest polymorph: 0.054 eV/atom

Cell lengths 5.0248, 5.0248, 3.9462 Å; angles 90.00, 90.00, 120.00 degrees
Fractional positions:
Ce 0.0000 0.0000 0.0000
Zn 0.3333 0.6667 0.0000
Ni 0.5024 0.0049 0.5000
Ni 0.5024 0.4976 0.5000
Ni 0.6667 0.3333 0.0000
Ni 0.9951 0.4976 0.5000

***

A relaxed Ce2Zn3Ni4 crystal, computed with GGA-PBE.

* energy: -83.935 eV/cell

Cell lengths 8.3848, 8.3848, 6.8018 Å; angles 90.00, 90.00, 142.96 degrees
Fractional positions:
Ce 0.1082 0.8918 0.9245
Ce 0.3918 0.6082 0.4245
Ce 0.6082 0.3918 0.5755
Ce 0.8918 0.1082 0.0755
Zn 0.0000 0.0000 0.5000
Zn 0.0148 0.4852 0.7500
Zn 0.4852 0.0148 0.2500
Zn 0.5000 0.5000 0.0000
Zn 0.5148 0.9852 0.7500
Zn 0.9852 0.5148 0.2500
Ni 0.1627 0.8373 0.5192
Ni 0.1731 0.3269 0.7500
Ni 0.3269 0.1731 0.2500
Ni 0.3373 0.6627 0.0192
Ni 0.6627 0.3373 0.9808
Ni 0.6731 0.8269 0.7500
Ni 0.8269 0.6731 0.2500
Ni 0.8373 0.1627 0.4808

***

A relaxed CeZn8Ni4 crystal, computed with GGA-PBE.

* energy: -42.534 eV/cell

Cell lengths 6.6172, 6.6172, 6.6172 Å; angles 98.37, 98.37, 135.14 degrees
Fractional positions:
Ce 0.0000 0.0000 0.0000
Zn 0.0000 0.3448 0.3448
Zn 0.0000 0.6552 0.6552
Zn 0.2760 0.5000 0.7760
Zn 0.3448 0.0000 0.3448
Zn 0.5000 0.2760 0.7760
Zn 0.5000 0.7240 0.2240
Zn 0.6552 0.0000 0.6552
Zn 0.7240 0.5000 0.2240
Ni 0.0000 0.0000 0.5000
Ni 0.0000 0.5000 0.0000
Ni 0.5000 0.0000 0.0000
Ni 0.5000 0.5000 0.5000

***

A relaxed Ce2ZnNi7 crystal, computed with GGA-PBE.

* energy: -56.099 eV/cell

Cell lengths 3.7267, 3.7267, 10.8747 Å; angles 90.00, 90.00, 90.00 degrees
Fractional positions:
Ce 0.0000 0.5000 0.2332
Ce 0.5000 0.0000 0.7668
Zn 0.0000 0.0000 0.5000
Ni 0.0000 0.0000 0.0000
Ni 0.0000 0.5000 0.6449
Ni 0.0000 0.5000 0.8593
Ni 0.5000 0.0000 0.1407
Ni 0.5000 0.0000 0.3551
Ni 0.5000 0.5000 0.0000
Ni 0.5000 0.5000 0.5000

***

A relaxed CeZr2Ni9 crystal, computed with GGA-PBE.

* energy: -80.136 eV/cell

Cell lengths 8.4879, 8.4879, 8.4879 Å; angles 33.54, 33.54, 33.54 degrees
Fractional positions:
Ce 0.0000 0.0000 0.0000
Zr 0.1399 0.1399 0.1399
Zr 0.8601 0.8601 0.8601
Ni 0.0814 0.5877 0.5877
Ni 0.3337 0.3337 0.3337
Ni 0.4123 0.4123 0.9186
Ni 0.4123 0.9186 0.4123
Ni 0.5000 0.5000 0.5000
Ni 0.5877 0.0814 0.5877
Ni 0.5877 0.5877 0.0814
Ni 0.6663 0.6663 0.6663
Ni 0.9186 0.4123 0.4123

***

A relaxed Ce2ZrNi9 crystal, computed with GGA-PBE.

* energy: -76.860 eV/cell

Cell lengths 8.7143, 8.7143, 8.7143 Å; angles 32.46, 32.46, 32.46 degrees
Fractional positions:
Ce 0.1372 0.1372 0.1372
Ce 0.8628 0.8628 0.8628
Zr 0.0000 0.0000 0.0000
Ni 0.0811 0.5807 0.5807
Ni 0.3330 0.3330 0.3330
Ni 0.4193 0.4193 0.9189
Ni 0.4193 0.9189 0.4193
Ni 0.5000 0.5000 0.5000
Ni 0.5807 0.0811 0.5807
Ni 0.5807 0.5807 0.0811
Ni 0.6670 0.6670 0.6670
Ni 0.9189 0.4193 0.4193

***

A relaxed Ce2Zr2Ni15 crystal, computed with GGA-PBE.

* energy: -121.101 eV/cell

Cell lengths 6.4383, 6.4383, 6.4383 Å; angles 81.95, 81.95, 81.95 degrees
Fractional positions:
Ce 0.1463 0.1463 0.1463
Ce 0.8537 0.8537 0.8537
Zr 0.3924 0.3924 0.3924
Zr 0.6076 0.6076 0.6076
Ni 0.0000 0.5000 0.5000
Ni 0.1530 0.1530 0.6628
Ni 0.1530 0.6628 0.1530
Ni 0.1922 0.5000 0.8078
Ni 0.1922 0.8078 0.5000
Ni 0.3372 0.8470 0.8470
Ni 0.5000 0.0000 0.5000
Ni 0.5000 0.1922 0.8078
Ni 0.5000 0.5000 0.0000
Ni 0.5000 0.8078 0.1922
Ni 0.6628 0.1530 0.1530
Ni 0.8078 0.1922 0.5000
Ni 0.8078 0.5000 0.1922
Ni 0.8470 0.3372 0.8470
Ni 0.8470 0.8470 0.3372

***

A relaxed CeZrNi17 crystal, computed with GGA-PBE.

* energy: -116.204 eV/cell

Cell lengths 6.2184, 6.2184, 6.2184 Å; angles 82.84, 82.84, 82.84 degrees
Fractional positions:
Ce 0.0000 0.0000 0.0000
Zr 0.6731 0.6731 0.6731
Ni 0.0403 0.3417 0.6375
Ni 0.0403 0.6375 0.3417
Ni 0.1878 0.6847 0.6847
Ni 0.2415 0.2415 0.2415
Ni 0.3392 0.3392 0.8408
Ni 0.3392 0.8408 0.3392
Ni 0.3417 0.0403 0.6375
Ni 0.3417 0.6375 0.0403
Ni 0.4421 0.4421 0.4421
Ni 0.4993 0.9896 0.9896
Ni 0.6375 0.0403 0.3417
Ni 0.6375 0.3417 0.0403
Ni 0.6847 0.1878 0.6847
Ni 0.6847 0.6847 0.1878
Ni 0.8408 0.3392 0.3392
Ni 0.9896 0.4993 0.9896
Ni 0.9896 0.9896 0.4993

***

A relaxed Ce2ZrNi crystal, computed with GGA-PBE.

* E above lowest polymorph: 0.000 eV/atom

Cell lengths 3.3045, 3.3045, 8.3971 Å; angles 90.00, 90.00, 90.00 degrees
Fractional positions:
Ce 0.0000 0.0000 0.2076
Ce 0.0000 0.0000 0.7924
Zr 0.5000 0.5000 0.5000
Ni 0.5000 0.5000 0.0000

***

A relaxed CeZrNi4 crystal, computed with GGA-PBE.

* energy: -39.605 eV/cell

Cell lengths 5.0153, 5.0153, 5.0153 Å; angles 60.00, 60.00, 60.00 degrees
Fractional positions:
Ce 0.0000 0.0000 0.0000
Zr 0.2500 0.2500 0.2500
Ni 0.1265 0.6245 0.6245
Ni 0.6245 0.1265 0.6245
Ni 0.6245 0.6245 0.1265
Ni 0.6245 0.6245 0.6245

***

A relaxed CeZr2Ni crystal, computed with GGA-PBE.

* E above lowest polymorph: 0.000 eV/atom

Cell lengths 3.2450, 3.2450, 7.9657 Å; angles 90.00, 90.00, 90.00 degrees
Fractional positions:
Ce 0.0000 0.0000 0.0000
Zr 0.5000 0.5000 0.3023
Zr 0.5000 0.5000 0.6977
Ni 0.0000 0.0000 0.5000

***

A relaxed Ce2ZrNi crystal, computed with GGA-PBE.

* E above lowest polymorph: 0.251 eV/atom

Cell lengths 10.6278, 10.6278, 10.6278 Å; angles 16.77, 16.77, 16.77 degrees
Fractional positions:
Ce 0.0961 0.0961 0.0961
Ce 0.9039 0.9039 0.9039
Zr 0.0000 0.0000 0.0000
Ni 0.5000 0.5000 0.5000

***

A relaxed CeZrNi crystal, computed with GGA-PBE.

* energy: -20.687 eV/cell

Cell lengths 6.3173, 6.3173, 6.3173 Å; angles 150.13, 150.13, 42.75 degrees
Fractional positions:
Ce 0.0000 0.0000 0.0000
Zr 0.2899 0.2899 0.0000
Ni 0.6706 0.6706 0.0000

***

A relaxed CeZr2Ni crystal, computed with GGA-PBE.

* E above lowest polymorph: 0.249 eV/atom

Cell lengths 6.3501, 6.3501, 6.3501 Å; angles 39.08, 39.08, 39.08 degrees
Fractional positions:
Ce 0.0000 0.0000 0.0000
Zr 0.5612 0.5612 0.5612
Zr 0.7821 0.7821 0.7821
Ni 0.1853 0.1853 0.1853

***

A relaxed Ce3Np crystal, computed with GGA-PBE.

* energy: -29.890 eV/cell

Cell lengths 6.5026, 6.5026, 6.5026 Å; angles 151.96, 58.95, 129.28 degrees
Fractional positions:
Ce 0.0000 0.0000 0.0000
Ce 0.3268 0.5452 0.7816
Ce 0.7637 0.5452 0.2184
Np 0.4221 0.9221 0.5000

***

A relaxed Ce4Np crystal, computed with GGA-PBE.

* energy: -35.138 eV/cell

Cell lengths 5.2739, 5.2739, 5.2739 Å; angles 90.00, 90.00, 90.00 degrees
Fractional positions:
Ce 0.0000 0.0000 0.0000
Ce 0.0000 0.5000 0.5000
Ce 0.5000 0.0000 0.5000
Ce 0.5000 0.5000 0.0000
Np 0.5000 0.5000 0.5000

***

A relaxed Ce3Np crystal, computed with GGA-PBE.

* energy: -29.891 eV/cell

Cell lengths 3.0356, 5.1725, 6.1301 Å; angles 90.00, 90.00, 90.00 degrees
Fractional positions:
Ce 0.0000 0.0000 0.0000
Ce 0.0000 0.5000 0.2076
Ce 0.5000 0.5000 0.6809
Np 0.5000 0.0000 0.4978

***

A relaxed CeNp crystal, computed with GGA-PBE.

* energy: -37.272 eV/cell

Cell lengths 3.2858, 4.4504, 6.6338 Å; angles 90.00, 101.14, 90.00 degrees
Fractional positions:
Ce 0.2092 0.2500 0.3380
Ce 0.7908 0.7500 0.6620
Np 0.3465 0.2500 0.9697
Np 0.6535 0.7500 0.0303

***

A relaxed CeNp2 crystal, computed with GGA-PBE.

* energy: -62.162 eV/cell

Cell lengths 5.6131, 5.6131, 5.6131 Å; angles 60.00, 60.00, 60.00 degrees
Fractional positions:
Ce 0.1250 0.1250 0.1250
Ce 0.8750 0.8750 0.8750
Np 0.0000 0.5000 0.5000
Np 0.5000 0.0000 0.5000
Np 0.5000 0.5000 0.0000
Np 0.5000 0.5000 0.5000